*a*
# NaCa3P (GGA-PBEsol, optimized geometry)
# - Theoretical density: 1.6 g cm⁻³
data_NaCa3P
_cell_length_a 13.8530
_cell_length_b 15.5575
_cell_length_c 7.0638
_cell_angle_alpha 90.00
_cell_angle_beta 111.49
_cell_angle_gamma 90.00
_space_group_name_H-M_alt 'C 1 2/c 1'
_space_group_IT_number 15
_space_group_name_Hall '-C 2yc'
loop_
_atom_site_label
_atom_site_type_symbol
_atom_site_fract_x
_atom_site_fract_y
_atom_site_fract_z
Na1 Na 0.1277 0.0624 0.4826
Ca1 Ca 0.1174 0.4346 0.0041
Ca2 Ca 0.1217 0.3059 0.5074
Ca3 Ca 0.1262 0.1796 0.9985
P1 P 0.0000 0.3008 0.7500
P2 P 0.0000 0.4318 0.2500

***

*b*
# NaCa3P (GGA-PBEsol, optimized geometry)
# - Theoretical density: 1.6 g cm⁻³
data_NaCa3P
_cell_length_a 5.5972
_cell_length_b 5.5972
_cell_length_c 5.5972
_cell_angle_alpha 90.00
_cell_angle_beta 90.00
_cell_angle_gamma 90.00
_space_group_name_H-M_alt 'P m -3 m'
_space_group_IT_number 221
_space_group_name_Hall '-P 4 2 3'
loop_
_atom_site_label
_atom_site_type_symbol
_atom_site_fract_x
_atom_site_fract_y
_atom_site_fract_z
Na1 Na 0.0000 0.0000 0.0000
Ca1 Ca 0.0000 0.0000 0.5000
P1 P 0.5000 0.5000 0.5000

***

Which structure is the least stable? The one labeled *b*.

***

*a*
# NaCa2Zn2 (GGA-PBEsol, optimized geometry)
# - Theoretical density: 2.9 g cm⁻³
data_NaCa2Zn2
_cell_length_a 7.9531
_cell_length_b 7.9531
_cell_length_c 4.1855
_cell_angle_alpha 90.00
_cell_angle_beta 90.00
_cell_angle_gamma 90.00
_space_group_name_H-M_alt 'P 4/m b m'
_space_group_IT_number 127
_space_group_name_Hall '-P 4 2ab'
loop_
_atom_site_label
_atom_site_type_symbol
_atom_site_fract_x
_atom_site_fract_y
_atom_site_fract_z
Na1 Na 0.0000 0.0000 0.0000
Ca1 Ca 0.1715 0.3285 0.5000
Zn1 Zn 0.1158 0.6158 0.0000

***

*b*
# NaCa2Zn2 (GGA-PBEsol, optimized geometry)
# - Theoretical density: 2.7 g cm⁻³
data_NaCa2Zn2
_cell_length_a 3.7179
_cell_length_b 3.7179
_cell_length_c 21.1041
_cell_angle_alpha 90.00
_cell_angle_beta 90.00
_cell_angle_gamma 90.00
_space_group_name_H-M_alt 'I 4/m m m'
_space_group_IT_number 139
_space_group_name_Hall '-I 4 2'
loop_
_atom_site_label
_atom_site_type_symbol
_atom_site_fract_x
_atom_site_fract_y
_atom_site_fract_z
Na1 Na 0.0000 0.0000 0.0000
Ca1 Ca 0.0000 0.0000 0.3686
Zn1 Zn 0.0000 0.5000 0.2500

***

Which structure is the least stable? The one labeled *b*.

***

*a*
# CaNbTe2 (GGA-PBEsol, optimized geometry)
# - Theoretical density: 4.4 g cm⁻³
data_CaNbTe2
_cell_length_a 6.4223
_cell_length_b 6.4223
_cell_length_c 14.1589
_cell_angle_alpha 90.00
_cell_angle_beta 90.00
_cell_angle_gamma 90.00
_space_group_name_H-M_alt 'I -4 2 d'
_space_group_IT_number 122
_space_group_name_Hall 'I -4 2bw'
loop_
_atom_site_label
_atom_site_type_symbol
_atom_site_fract_x
_atom_site_fract_y
_atom_site_fract_z
Ca1 Ca 0.0000 0.0000 0.0000
Nb1 Nb 0.0000 0.0000 0.5000
Te1 Te 0.2080 0.2500 0.6250

***

*b*
# CaNbTe2 (GGA-PBEsol, optimized geometry)
# - Theoretical density: 7.1 g cm⁻³
data_CaNbTe2
_cell_length_a 7.1315
_cell_length_b 7.1315
_cell_length_c 7.1315
_cell_angle_alpha 90.00
_cell_angle_beta 90.00
_cell_angle_gamma 90.00
_space_group_name_H-M_alt 'F m -3 m'
_space_group_IT_number 225
_space_group_name_Hall '-F 4 2 3'
loop_
_atom_site_label
_atom_site_type_symbol
_atom_site_fract_x
_atom_site_fract_y
_atom_site_fract_z
Ca1 Ca 0.0000 0.0000 0.0000
Nb1 Nb 0.0000 0.0000 0.5000
Te1 Te 0.2500 0.2500 0.2500

***

*c*
# CaNbTe2 (GGA-PBEsol, optimized geometry)
# - Theoretical density: 5.5 g cm⁻³
data_CaNbTe2
_cell_length_a 3.6887
_cell_length_b 3.6887
_cell_length_c 29.6272
_cell_angle_alpha 90.00
_cell_angle_beta 90.00
_cell_angle_gamma 120.00
_space_group_name_H-M_alt 'R -3 m'
_space_group_IT_number 166
_space_group_name_Hall '-R 3 2"'
loop_
_atom_site_label
_atom_site_type_symbol
_atom_site_fract_x
_atom_site_fract_y
_atom_site_fract_z
Ca1 Ca 0.0000 0.0000 0.0000
Nb1 Nb 0.0000 0.0000 0.5000
Te1 Te 0.0000 0.0000 0.1053

***

Which structure is the least stable? The one labeled *a*.

***

*a*
# CaNiOs2 (GGA-PBEsol, optimized geometry)
# - Theoretical density: 12.3 g cm⁻³
data_CaNiOs2
_cell_length_a 2.7675
_cell_length_b 3.6721
_cell_length_c 6.3833
_cell_angle_alpha 90.00
_cell_angle_beta 90.00
_cell_angle_gamma 90.00
_space_group_name_H-M_alt 'P m m 2'
_space_group_IT_number 25
_space_group_name_Hall 'P 2 -2'
loop_
_atom_site_label
_atom_site_type_symbol
_atom_site_fract_x
_atom_site_fract_y
_atom_site_fract_z
Ca1 Ca 0.0000 0.0000 0.0000
Ni1 Ni 0.5000 0.5000 0.2795
Os1 Os 0.0000 0.0000 0.4912
Os2 Os 0.5000 0.5000 0.6677

***

*b*
# CaNiOs2 (GGA-PBEsol, optimized geometry)
# - Theoretical density: 12.9 g cm⁻³
data_CaNiOs2
_cell_length_a 2.8297
_cell_length_b 4.6663
_cell_length_c 9.3746
_cell_angle_alpha 90.00
_cell_angle_beta 90.00
_cell_angle_gamma 90.00
_space_group_name_H-M_alt 'I m m 2'
_space_group_IT_number 44
_space_group_name_Hall 'I 2 -2'
loop_
_atom_site_label
_atom_site_type_symbol
_atom_site_fract_x
_atom_site_fract_y
_atom_site_fract_z
Ca1 Ca 0.0000 0.0000 0.0000
Ni1 Ni 0.0000 0.5000 0.7685
Os1 Os 0.0000 0.0000 0.4917
Os2 Os 0.0000 0.5000 0.2171

***

Which structure is the least stable? The one labeled *b*.

***

*a*
# CaNiOs (GGA-PBEsol, optimized geometry)
# - Theoretical density: 9.4 g cm⁻³
data_CaNiOs
_cell_length_a 2.6535
_cell_length_b 3.8455
_cell_length_c 10.0294
_cell_angle_alpha 90.00
_cell_angle_beta 90.00
_cell_angle_gamma 90.00
_space_group_name_H-M_alt 'I m m 2'
_space_group_IT_number 44
_space_group_name_Hall 'I 2 -2'
loop_
_atom_site_label
_atom_site_type_symbol
_atom_site_fract_x
_atom_site_fract_y
_atom_site_fract_z
Ca1 Ca 0.0000 0.0000 0.0000
Ni1 Ni 0.0000 0.0000 0.7166
Os1 Os 0.0000 0.0000 0.2902

***

*b*
# CaNiOs (GGA-PBEsol, optimized geometry)
# - Theoretical density: 10.1 g cm⁻³
data_CaNiOs
_cell_length_a 4.5321
_cell_length_b 4.5321
_cell_length_c 2.6642
_cell_angle_alpha 90.00
_cell_angle_beta 90.00
_cell_angle_gamma 120.00
_space_group_name_H-M_alt 'P -6 m 2'
_space_group_IT_number 187
_space_group_name_Hall 'P -6 2'
loop_
_atom_site_label
_atom_site_type_symbol
_atom_site_fract_x
_atom_site_fract_y
_atom_site_fract_z
Ca1 Ca 0.0000 0.0000 0.0000
Ni1 Ni 0.3333 0.6667 0.5000
Os1 Os 0.6667 0.3333 0.5000

***

Which structure is the least stable? The one labeled *b*.

***

*a*
# Ca2ReNi (GGA-PBEsol, optimized geometry)
# - Theoretical density: 6.3 g cm⁻³
data_Ca2ReNi
_cell_length_a 4.2914
_cell_length_b 4.6978
_cell_length_c 8.5635
_cell_angle_alpha 90.00
_cell_angle_beta 90.00
_cell_angle_gamma 90.00
_space_group_name_H-M_alt 'C m m 2'
_space_group_IT_number 35
_space_group_name_Hall 'C 2 -2'
loop_
_atom_site_label
_atom_site_type_symbol
_atom_site_fract_x
_atom_site_fract_y
_atom_site_fract_z
Ca1 Ca 0.0000 0.0000 0.0000
Ca2 Ca 0.0000 0.5000 0.3947
Re1 Re 0.0000 0.5000 0.7490
Ni1 Ni 0.0000 0.0000 0.6309

***

*b*
# Ca2ReNi (GGA-PBEsol, optimized geometry)
# - Theoretical density: 6.7 g cm⁻³
data_Ca2ReNi
_cell_length_a 6.8476
_cell_length_b 6.8476
_cell_length_c 6.8476
_cell_angle_alpha 90.00
_cell_angle_beta 90.00
_cell_angle_gamma 90.00
_space_group_name_H-M_alt 'F m -3 m'
_space_group_IT_number 225
_space_group_name_Hall '-F 4 2 3'
loop_
_atom_site_label
_atom_site_type_symbol
_atom_site_fract_x
_atom_site_fract_y
_atom_site_fract_z
Ca1 Ca 0.2500 0.2500 0.2500
Re1 Re 0.0000 0.0000 0.0000
Ni1 Ni 0.0000 0.0000 0.5000

***

Which structure is the least stable? The one labeled *b*.